A plane-wave DFT calculation with PBE was carried out for crystalline PaRuS at its relaxed geometry.

```
PaRuS
1.0
6.9301 0.0000 0.0000
0.0000 4.2503 0.0000
0.0000 0.0000 8.1941
Pa Ru S
4 4 4
direct
0.2290 0.2500 0.0005 Pa
0.2710 0.7500 0.5005 Pa
0.7290 0.2500 0.4995 Pa
0.7710 0.7500 0.9995 Pa
0.0067 0.7500 0.2011 Ru
0.4933 0.2500 0.7011 Ru
0.5067 0.7500 0.2989 Ru
0.9933 0.2500 0.7989 Ru
0.0630 0.2500 0.3262 S
0.4370 0.7500 0.8262 S
0.5630 0.2500 0.1738 S
0.9370 0.7500 0.6738 S
```

Spin magnetization (μB per formula unit): 0.00
E_form (uncorrected) (eV/f.u.): -2.6
Energy relative to the lowest polymorph listed for this composition (meV per atom): 129
Raw total energy (eV per atom): -8.5161
SG: Pnma (62)